(1)
VASP calculation (GGA-PBE) on an optimized crystal structure of LuCoOs.

a = 6.1511 Å, b = 6.1511 Å, c = 6.1511 Å
α = 90.00°, β = 90.00°, γ = 90.00°
Closest atoms and distances in Å follow each position.
Space group F-43m (No. 216)
Symmetry-distinct sites (fractional):
Lu  0.0000  0.0000  0.0000 x4  4 Os 2.66, 4 Co 2.66
Co  0.2500  0.2500  0.7500 x4  4 Lu 2.66
Os  0.2500  0.2500  0.2500 x4  4 Lu 2.66

Computed properties:
Calculated density = 12104 kg/m³
Raw total energy = -6.47 eV/atom
ΔE_f = 1.1498 eV per atom

(2)
VASP calculation (GGA-PBE) on an optimized crystal structure of AlHgPd2.

a = 4.2588 Å, b = 4.2588 Å, c = 7.1656 Å
α = 90.00°, β = 90.00°, γ = 90.00°
Closest atoms and distances in Å follow each position.
Space group I4/mmm (No. 139)
Symmetry-distinct sites (fractional):
Al  0.0000  0.0000  0.0000 x2  8 Pd 2.78, 4 Hg 3.01
Hg  0.0000  0.0000  0.5000 x2  8 Pd 2.78, 4 Al 3.01
Pd  0.0000  0.5000  0.2500 x4  4 Hg 2.78, 4 Al 2.78, 4 Pd 3.01

Computed properties:
Calculated density = 11254 kg/m³
Raw total energy = -4.03 eV/atom

(3)
VASP calculation (GGA-PBE) on an optimized crystal structure of CsNb4Cl11.

a = 16.2689 Å, b = 7.0110 Å, c = 6.8447 Å
α = 90.00°, β = 90.00°, γ = 90.00°
Closest atoms and distances in Å follow each position.
Space group Pmma (No. 51)
Symmetry-distinct sites (fractional):
Cs  0.2500  0.0000  0.0139 x2  10 Cl 3.57-3.74
Nb  0.0000  0.2853  0.5000 x4  6 Cl 2.51-2.59
Nb  0.1412  0.5000  0.6223 x4  6 Cl 2.43-2.62
Cl  0.0777  0.2488  0.8149 x8  2 Nb 2.43-2.51
Cl  0.0829  0.0000  0.3637 x4  2 Nb 2.59
Cl  0.0858  0.5000  0.2884 x4  3 Nb 2.46-2.51
Cl  0.2500  0.2678  0.4860 x4  2 Nb 2.58
Cl  0.2500  0.5000  0.9054 x2  2 Nb 2.62

Computed properties:
Calculated density = 3805 kg/m³
Raw total energy = -5.21 eV/atom